No. 1
# K2HfInH

A geometry-optimized K2HfInH structure (PBE, the Alexandria database).

Lattice parameters (Å, degrees): 4.542 4.542 6.683 90.00 90.00 90.00
Fractional positions:
1 K 0.000 0.500 0.000
2 K 0.500 0.000 0.000
3 Hf 0.000 0.000 0.500
4 In 0.500 0.500 0.500
5 H 0.500 0.500 0.000

Values from the calculation:
As for the calculated volume: 27.577 Å³/atom. As for the total energy: -14.9 eV for the cell shown. The density of states at the Fermi level is 4.11 states/eV/f.u.

No. 2
# Li2HfInH

A geometry-optimized Li2HfInH structure (PBE, the Alexandria database).

Lattice parameters (Å, degrees): 4.149 4.149 4.467 90.00 90.00 90.00
Fractional positions:
1 Li 0.000 0.500 0.000
2 Li 0.500 0.000 0.000
3 Hf 0.000 0.000 0.500
4 In 0.500 0.500 0.500
5 H 0.000 0.000 0.000

Values from the calculation:
As for the calculated volume: 15.381 Å³/atom. As for the total energy: -20.7 eV for the cell shown. The density of states at the Fermi level is 1.63 states/eV/f.u.

No. 3
# Hf2InMoH

A geometry-optimized Hf2InMoH structure (PBE, the Alexandria database).

Lattice parameters (Å, degrees): 4.638 4.638 3.770 90.00 90.00 90.00
Fractional positions:
1 Hf 0.000 0.500 0.000
2 Hf 0.500 0.000 0.000
3 In 0.000 0.000 0.500
4 Mo 0.500 0.500 0.500
5 H 0.500 0.500 0.000

Values from the calculation:
As for the calculated volume: 16.222 Å³/atom. As for the total energy: -37.7 eV for the cell shown. The density of states at the Fermi level is 1.98 states/eV/f.u.

No. 4
# HfNb2InH

A geometry-optimized HfNb2InH structure (PBE, the Alexandria database).

Lattice parameters (Å, degrees): 4.124 4.124 4.805 90.00 90.00 90.00
Fractional positions:
1 Hf 0.000 0.000 0.000
2 Nb 0.000 0.500 0.500
3 Nb 0.500 0.000 0.500
4 In 0.500 0.500 0.000
5 H 0.500 0.500 0.500

Values from the calculation:
As for the calculated volume: 16.342 Å³/atom. As for the total energy: -36.5 eV for the cell shown. The density of states at the Fermi level is 2.49 states/eV/f.u.

No. 5
# HfNb2InH

A geometry-optimized HfNb2InH structure (PBE, the Alexandria database).

Lattice parameters (Å, degrees): 4.172 4.172 4.629 90.00 90.00 90.00
Fractional positions:
1 Hf 0.000 0.000 0.000
2 Nb 0.000 0.500 0.500
3 Nb 0.500 0.000 0.500
4 In 0.500 0.500 0.000
5 H 0.000 0.000 0.500

Values from the calculation:
As for the calculated volume: 16.115 Å³/atom. As for the total energy: -37.0 eV for the cell shown. The density of states at the Fermi level is 3.46 states/eV/f.u.

No. 6
# HfInH2Os

A geometry-optimized HfInH2Os structure (PBE, the Alexandria database).

Lattice parameters (Å, degrees): 3.826 3.826 5.129 90.00 90.00 90.00
Fractional positions:
1 Hf 0.000 0.000 0.000
2 In 0.500 0.500 0.000
3 H 0.000 0.500 0.500
4 H 0.500 0.000 0.500
5 Os 0.500 0.500 0.500

Values from the calculation:
As for the calculated volume: 15.016 Å³/atom. As for the total energy: -26.4 eV for the cell shown. The density of states at the Fermi level is 2.41 states/eV/f.u.

No. 7
# HfInH2Pb

A geometry-optimized HfInH2Pb structure (PBE, the Alexandria database).

Lattice parameters (Å, degrees): 4.049 4.049 6.241 90.00 90.00 90.00
Fractional positions:
1 Hf 0.000 0.000 0.000
2 In 0.000 0.000 0.500
3 H 0.000 0.500 0.500
4 H 0.500 0.000 0.500
5 Pb 0.500 0.500 0.000

Values from the calculation:
As for the calculated volume: 20.459 Å³/atom. As for the total energy: -20.3 eV for the cell shown. The density of states at the Fermi level is 2.12 states/eV/f.u.

No. 8
# Hf2InHPd

A geometry-optimized Hf2InHPd structure (PBE, the Alexandria database).

Lattice parameters (Å, degrees): 4.351 4.351 4.254 90.00 90.00 90.00
Fractional positions:
1 Hf 0.000 0.500 0.000
2 Hf 0.500 0.000 0.000
3 In 0.000 0.000 0.500
4 H 0.500 0.500 0.000
5 Pd 0.500 0.500 0.500

Values from the calculation:
As for the calculated volume: 16.111 Å³/atom. As for the total energy: -32.9 eV for the cell shown. The density of states at the Fermi level is 4.42 states/eV/f.u.

No. 9
# HfInHRh2

A geometry-optimized HfInHRh2 structure (PBE, the Alexandria database).

Lattice parameters (Å, degrees): 4.210 4.210 4.006 90.00 90.00 90.00
Fractional positions:
1 Hf 0.000 0.000 0.000
2 In 0.500 0.500 0.000
3 H 0.000 0.000 0.500
4 Rh 0.000 0.500 0.500
5 Rh 0.500 0.000 0.500

Values from the calculation:
As for the calculated volume: 14.200 Å³/atom. As for the total energy: -32.9 eV for the cell shown. The density of states at the Fermi level is 2.95 states/eV/f.u.

No. 10
# HfInHRu2

A geometry-optimized HfInHRu2 structure (PBE, the Alexandria database).

Lattice parameters (Å, degrees): 4.241 4.241 3.873 90.00 90.00 90.00
Fractional positions:
1 Hf 0.000 0.000 0.000
2 In 0.500 0.500 0.000
3 H 0.000 0.000 0.500
4 Ru 0.000 0.500 0.500
5 Ru 0.500 0.000 0.500

Values from the calculation:
As for the calculated volume: 13.931 Å³/atom. As for the total energy: -35.8 eV for the cell shown. The density of states at the Fermi level is 2.22 states/eV/f.u.

No. 11
# Hf2ScInH

A geometry-optimized Hf2ScInH structure (PBE, the Alexandria database).

Lattice parameters (Å, degrees): 5.718 5.718 3.398 90.00 90.00 90.00
Fractional positions:
1 Hf 0.000 0.500 0.000
2 Hf 0.500 0.000 0.000
3 Sc 0.000 0.000 0.500
4 In 0.500 0.500 0.000
5 H 0.500 0.500 0.500

Values from the calculation:
As for the calculated volume: 22.219 Å³/atom. As for the total energy: -27.9 eV for the cell shown. The density of states at the Fermi level is 5.22 states/eV/f.u.

No. 12
# Hf2ScInH

A geometry-optimized Hf2ScInH structure (PBE, the Alexandria database).

Lattice parameters (Å, degrees): 4.421 4.421 4.501 90.00 90.00 90.00
Fractional positions:
1 Hf 0.000 0.500 0.000
2 Hf 0.500 0.000 0.000
3 Sc 0.000 0.000 0.500
4 In 0.500 0.500 0.500
5 H 0.000 0.000 0.000

Values from the calculation:
As for the calculated volume: 17.595 Å³/atom. As for the total energy: -33.8 eV for the cell shown. The density of states at the Fermi level is 2.39 states/eV/f.u.